Model P:
First-principles (PBE) data for a geometry-optimized ZrHgSeBr2 structure, as listed in Alexandria.

Cell: 5.389 5.389 5.388 Å, 90.00 90.00 90.00°
Sites, in units of the cell vectors:
1 Zr 0.000 0.000 0.000
2 Hg 0.500 0.500 0.500
3 Se 0.500 0.500 0.000
4 Br 0.000 0.500 0.500
5 Br 0.500 0.000 0.500

## Properties
Volume   156.47 Å³ per cell
Crystal system   tetragonal

=====

Model Q:
First-principles (PBE) data for a geometry-optimized ZrHgSeBr2 structure, as listed in Alexandria.

Cell: 5.464 5.464 5.175 Å, 90.00 90.00 90.00°
Sites, in units of the cell vectors:
1 Zr 0.000 0.000 0.000
2 Hg 0.500 0.500 0.500
3 Se 0.000 0.000 0.500
4 Br 0.000 0.500 0.000
5 Br 0.500 0.000 0.000

## Properties
Volume   154.48 Å³ per cell
Crystal system   tetragonal

=====

Compare the structures above. Which one is the most stable? model Q is.